No. 1
Entry from the Alexandria database: a relaxed structure of LuAlGe (GGA-PBE).

Calculated values
Space group: No. 63
Formation energy from the elements: -175 kJ/mol of formula units

POSCAR file:
```
LuAlGe
1.0
-4.016 3.732 -0.221
0.732 -5.187 -1.631
-1.992 -1.849 4.986
Lu Al Ge
2 2 2
Direct
0.690 0.310 0.250
0.310 0.690 0.750
0.000 0.000 0.000
0.000 0.000 0.500
0.391 0.609 0.250
0.609 0.391 0.750
```

***

No. 2
Entry from the Alexandria database: a relaxed structure of MgAl3Ge (GGA-PBE).

Calculated values
Space group: No. 221
Formation energy from the elements: 482 kJ/mol of formula units

POSCAR file:
```
MgAl3Ge
1.0
5.035 0.000 0.000
0.000 5.035 0.000
0.000 0.000 5.035
Mg Ge Al
1 1 3
Direct
0.000 0.000 0.000
0.500 0.500 0.500
0.000 0.500 0.000
0.000 0.000 0.500
0.500 0.000 0.000
```

***

No. 3
Entry from the Alexandria database: a relaxed structure of MgAlGe3 (GGA-PBE).

Calculated values
Space group: No. 221
Formation energy from the elements: 376 kJ/mol of formula units

POSCAR file:
```
MgAlGe3
1.0
4.994 0.000 0.000
0.000 4.994 0.000
0.000 0.000 4.994
Mg Ge Al
1 3 1
Direct
0.000 0.000 0.000
0.000 0.500 0.000
0.000 0.000 0.500
0.500 0.000 0.000
0.500 0.500 0.500
```

***

No. 4
Entry from the Alexandria database: a relaxed structure of MgAlGe (GGA-PBE).

Calculated values
Space group: No. 187
Formation energy from the elements: 2 kJ/mol of formula units

POSCAR file:
```
MgAlGe
1.0
-2.955 0.486 -0.664
-1.206 -3.392 2.881
0.362 4.326 1.555
Mg Ge Al
1 1 1
Direct
0.333 0.667 0.333
0.834 0.333 0.667
0.832 0.000 0.000
```

***

The records above yield DOS(E_F) values of 1.11, 3.79, 3.91, 1.26 states/eV/f.u., respectively.